A plane-wave DFT calculation with PBE-GGA was carried out for crystalline KOsRu2 at its relaxed geometry.

Calculated values
Calculated formation energy = 0.8428 eV per atom
Magnetization = 0.00 μB per cell
Uncorrected energy = -0.5054 Ry per atom
Relative energy among the computed polymorphs = 97.1 meV/atom

Cell lengths 2.691, 3.819, 7.870 Å; angles 90.00, 90.00, 90.00 degrees
Atoms (fractional coordinates):
Os 0.500 0.500 0.844
Ru 0.500 0.500 0.163
Ru 0.000 0.000 0.993
K 0.000 0.000 0.501